Compound: AlFeAg
Source: Alexandria
Functional: PBE
Structure: relaxed

Its distance to the lowest polymorph of the same formula is 64 meV/atom. The crystal system is hexagonal. The value obtained for the calculated formation energy is 0.099 eV/atom. The value obtained for the total energy is -29.5 eV/cell. The calculation puts the total magnetization at 5.0 Bohr magnetons per cell.

The space group is P-6m2 (No. 187) and the conventional cell measures 2.7956, 2.7956 and 13.2817 Å, with angles of 90.00, 90.00 and 120.00 degrees. The asymmetric unit holds Al at (0.0000, 0.0000, 0.0000), Al at (0.3333, 0.6667, 0.5000), Fe at (0.3333, 0.6667, 0.1527) and Ag at (0.0000, 0.0000, 0.3254).